1.
# ThB3Ru6

A relaxed ThB3Ru6 crystal (PBE, Alexandria via LeMat-Bulk). Values from VASP.

Properties
Formation energy from the elements   -0.1510 eV per atom

Cell and atoms, written as Quantum ESPRESSO input:
```
&SYSTEM
  ibrav = 0, nat = 10, ntyp = 3
/
ATOMIC_SPECIES
Th 232.04 Th.upf
B 10.81 B.upf
Ru 101.07 Ru.upf
CELL_PARAMETERS angstrom
2.7640 1.5958 5.1192
-2.7640 1.5958 5.1192
0.0000 -3.1916 5.1192
ATOMIC_POSITIONS crystal
Th 0.0000 0.0000 0.0000
B 0.1758 0.1758 0.1758
B 0.3745 0.3745 0.3745
B 0.7100 0.7100 0.7100
Ru 0.1322 0.5635 0.6996
Ru 0.4327 0.9406 0.4556
Ru 0.4556 0.4327 0.9406
Ru 0.5635 0.6996 0.1322
Ru 0.6996 0.1322 0.5635
Ru 0.9406 0.4556 0.4327
```

2.
# ThBRu

A relaxed ThBRu crystal (PBE, Alexandria via LeMat-Bulk). Values from VASP.

Properties
Formation energy from the elements   -0.2754 eV per atom
Energy above the lowest structure with this stoichiometry   0.101 eV per atom

Cell and atoms, written as Quantum ESPRESSO input:
```
&SYSTEM
  ibrav = 0, nat = 6, ntyp = 3
/
ATOMIC_SPECIES
Th 232.04 Th.upf
B 10.81 B.upf
Ru 101.07 Ru.upf
CELL_PARAMETERS angstrom
3.5176 0.0000 0.0000
0.0000 4.0497 0.0000
0.0000 0.0000 7.3754
ATOMIC_POSITIONS crystal
Th 0.2500 0.0000 0.2358
Th 0.7500 0.0000 0.7642
B 0.2500 0.5000 0.9413
B 0.7500 0.5000 0.0587
Ru 0.2500 0.5000 0.6352
Ru 0.7500 0.5000 0.3648
```

3.
# ThBRu4

A relaxed ThBRu4 crystal (PBE, Alexandria via LeMat-Bulk). Values from VASP.

Properties
Formation energy from the elements   -0.2054 eV per atom

Cell and atoms, written as Quantum ESPRESSO input:
```
&SYSTEM
  ibrav = 0, nat = 12, ntyp = 3
/
ATOMIC_SPECIES
Th 232.04 Th.upf
B 10.81 B.upf
Ru 101.07 Ru.upf
CELL_PARAMETERS angstrom
2.1507 -7.2800 0.0000
2.1507 7.2800 0.0000
0.0000 0.0000 5.9547
ATOMIC_POSITIONS crystal
Th 0.0948 0.9052 0.7500
Th 0.9052 0.0948 0.2500
B 0.3934 0.6066 0.7500
B 0.6066 0.3934 0.2500
Ru 0.1143 0.8857 0.2500
Ru 0.2958 0.7042 0.0066
Ru 0.2958 0.7042 0.4934
Ru 0.5000 0.5000 0.0000
Ru 0.5000 0.5000 0.5000
Ru 0.7042 0.2958 0.5066
Ru 0.7042 0.2958 0.9934
Ru 0.8857 0.1143 0.7500
```

4.
# Th2ZnB2Ru5

A relaxed Th2ZnB2Ru5 crystal (PBE, Alexandria via LeMat-Bulk). Values from VASP.

Properties
Formation energy from the elements   -0.4250 eV per atom

Cell and atoms, written as Quantum ESPRESSO input:
```
&SYSTEM
  ibrav = 0, nat = 20, ntyp = 4
/
ATOMIC_SPECIES
Th 232.04 Th.upf
Zn 65.41 Zn.upf
B 10.81 B.upf
Ru 101.07 Ru.upf
CELL_PARAMETERS angstrom
9.7182 0.0000 0.0000
0.0000 9.7182 0.0000
0.0000 0.0000 3.2289
ATOMIC_POSITIONS crystal
Th 0.1776 0.3224 0.0000
Th 0.3224 0.8224 0.0000
Th 0.6776 0.1776 0.0000
Th 0.8224 0.6776 0.0000
Zn 0.0000 0.0000 0.0000
Zn 0.5000 0.5000 0.0000
B 0.1219 0.6219 0.0000
B 0.3781 0.1219 0.0000
B 0.6219 0.8781 0.0000
B 0.8781 0.3781 0.0000
Ru 0.0000 0.5000 0.5000
Ru 0.0702 0.7783 0.5000
Ru 0.2217 0.0702 0.5000
Ru 0.2783 0.5702 0.5000
Ru 0.4298 0.2783 0.5000
Ru 0.5000 0.0000 0.5000
Ru 0.5702 0.7217 0.5000
Ru 0.7217 0.4298 0.5000
Ru 0.7783 0.9298 0.5000
Ru 0.9298 0.2217 0.5000
```

5.
# ThZn2BRu2

A relaxed ThZn2BRu2 crystal (PBE, Alexandria via LeMat-Bulk). Values from VASP.

Properties
Formation energy from the elements   -0.3918 eV per atom

Cell and atoms, written as Quantum ESPRESSO input:
```
&SYSTEM
  ibrav = 0, nat = 6, ntyp = 4
/
ATOMIC_SPECIES
Th 232.04 Th.upf
Zn 65.41 Zn.upf
B 10.81 B.upf
Ru 101.07 Ru.upf
CELL_PARAMETERS angstrom
4.2112 0.0000 0.0000
0.0000 4.2112 0.0000
0.0000 0.0000 5.4842
ATOMIC_POSITIONS crystal
Th 0.0000 0.0000 0.0000
Zn 0.5000 0.5000 0.2254
Zn 0.5000 0.5000 0.7746
B 0.0000 0.0000 0.5000
Ru 0.0000 0.5000 0.5000
Ru 0.5000 0.0000 0.5000
```

6.
# TiBRu2

A relaxed TiBRu2 crystal (PBE, Alexandria via LeMat-Bulk). Values from VASP.

Properties
Formation energy from the elements   -0.2769 eV per atom

Cell and atoms, written as Quantum ESPRESSO input:
```
&SYSTEM
  ibrav = 0, nat = 4, ntyp = 3
/
ATOMIC_SPECIES
Ti 47.87 Ti.upf
B 10.81 B.upf
Ru 101.07 Ru.upf
CELL_PARAMETERS angstrom
2.9228 0.0000 0.0000
0.0000 2.9228 0.0000
0.0000 0.0000 5.7650
ATOMIC_POSITIONS crystal
Ti 0.0000 0.0000 0.0000
B 0.0000 0.0000 0.5000
Ru 0.5000 0.5000 0.2782
Ru 0.5000 0.5000 0.7218
```

Going through the records in order, we get density of states at the Fermi level values of 11.0 3.1 11.4 12.2 3.9 2.1 states/eV per cell.